(1)
CsCrBiCl6 | PBE | optimized geometry

Results
- Energy relative to the elements, uncorrected: -11.1 eV/f.u.
- Symmetry: C2, No. 5
- VASP energy: -4.058 eV/atom

a b c (Å): 6.905 6.905 7.719
angles (deg): 91.63 91.63 117.74
Atoms (fractional coordinates):
Cs 0.000 0.000 0.000
Cr 0.321 0.679 0.500
Bi 0.659 0.341 0.500
Cl 0.010 0.651 0.328
Cl 0.344 0.414 0.308
Cl 0.349 0.990 0.672
Cl 0.586 0.656 0.692
Cl 0.614 0.022 0.279
Cl 0.978 0.386 0.721



(2)
CsSrTl2O4 | PBE | optimized geometry

Results
- Energy relative to the elements, uncorrected: -9.6 eV/f.u.
- Symmetry: P4/mmm, No. 123
- VASP energy: -4.593 eV/atom

a b c (Å): 4.511 4.511 8.058
angles (deg): 90.00 90.00 90.00
Atoms (fractional coordinates):
Cs 0.000 0.000 0.000
Sr 0.000 0.000 0.500
Tl 0.500 0.500 0.282
Tl 0.500 0.500 0.718
O 0.000 0.500 0.300
O 0.000 0.500 0.700
O 0.500 0.000 0.300
O 0.500 0.000 0.700



(3)
CsHCl2 | PBE | optimized geometry

Results
- Symmetry: P2_1/m, No. 11
- Energy above the lowest structure with this stoichiometry: 0.00 eV/f.u.
- VASP energy: -3.272 eV/atom

a b c (Å): 6.099 6.715 6.877
angles (deg): 90.00 90.17 90.00
Atoms (fractional coordinates):
Cs 0.250 0.250 0.249
Cs 0.750 0.750 0.751
H 0.250 0.750 0.251
H 0.750 0.250 0.749
Cl 0.249 0.750 0.477
Cl 0.251 0.750 0.025
Cl 0.749 0.250 0.975
Cl 0.751 0.250 0.523



(4)
Pd2RhWBr | PBE | optimized geometry

Results
- Energy relative to the elements, uncorrected: 5.5 eV/f.u.
- Symmetry: P4/mmm, No. 123
- VASP energy: -5.371 eV/atom

a b c (Å): 4.918 4.918 4.705
angles (deg): 90.00 90.00 90.00
Atoms (fractional coordinates):
Pd 0.000 0.500 0.000
Pd 0.500 0.000 0.000
Rh 0.000 0.000 0.500
W 0.000 0.000 0.000
Br 0.500 0.500 0.500



(5)
In2RuRh | PBE | optimized geometry

Results
- Energy of formation: 0.445 eV per formula unit
- Symmetry: P4mm, No. 99
- VASP energy: -5.415 eV/atom

a b c (Å): 2.985 2.985 8.263
angles (deg): 90.00 90.00 90.00
Atoms (fractional coordinates):
In 0.000 0.000 0.000
In 0.500 0.500 0.334
Ru 0.500 0.500 0.766
Rh 0.000 0.000 0.569



(6)
NbCd3Si | PBE | optimized geometry

Results
- Energy relative to the elements, uncorrected: 6.9 eV/f.u.
- Symmetry: Pm-3m, No. 221
- Energy above the lowest structure with this stoichiometry: 1.55 eV/f.u.
- VASP energy: -2.264 eV/atom

a b c (Å): 5.376 5.376 5.376
angles (deg): 90.00 90.00 90.00
Atoms (fractional coordinates):
Nb 0.000 0.000 0.000
Cd 0.000 0.000 0.500
Cd 0.000 0.500 0.000
Cd 0.500 0.000 0.000
Si 0.500 0.500 0.500



(7)
VAg3Se4 | PBE | optimized geometry

Results
- Energy relative to the elements, uncorrected: -2.7 eV/f.u.
- Symmetry: P-43m, No. 215
- Energy above the lowest structure with this stoichiometry: 0.00 eV/f.u.
- VASP energy: -4.289 eV/atom

a b c (Å): 6.206 6.206 6.206
angles (deg): 90.00 90.00 90.00
Atoms (fractional coordinates):
V 0.000 0.000 0.000
Ag 0.000 0.000 0.500
Ag 0.000 0.500 0.000
Ag 0.500 0.000 0.000
Se 0.224 0.224 0.224
Se 0.224 0.776 0.776
Se 0.776 0.224 0.776
Se 0.776 0.776 0.224



(8)
Sr2YAl2 | PBE | optimized geometry

Results
- Energy of formation: 0.966 eV per formula unit
- Symmetry: I4/mmm, No. 139
- Energy above the lowest structure with this stoichiometry: 1.33 eV/f.u.
- VASP energy: -3.269 eV/atom

a b c (Å): 3.819 3.819 23.699
angles (deg): 90.00 90.00 90.00
Atoms (fractional coordinates):
Sr 0.000 0.000 0.125
Sr 0.000 0.000 0.875
Sr 0.500 0.500 0.375
Sr 0.500 0.500 0.625
Y 0.000 0.000 0.500
Y 0.500 0.500 0.000
Al 0.000 0.500 0.250
Al 0.000 0.500 0.750
Al 0.500 0.000 0.250
Al 0.500 0.000 0.750



Number 1: total magnetization 4.0 μB per formula unit. Number 2: total magnetization 0.0 μB per formula unit. Number 3: total magnetization 0.0 μB per formula unit. Number 4: total magnetization 0.0 μB per formula unit. Number 5: total magnetization 0.6 μB per formula unit. Number 6: total magnetization 0.6 μB per formula unit. Number 7: total magnetization 0.0 μB per formula unit. Number 8: total magnetization 1.0 μB per formula unit.